LaEuZnOs | GGA-PBE | optimized geometry

The value obtained for the formation energy is -0.0112 eV per atom. The spin magnetization comes out at 6.8 μB per cell. The calculation puts the mass density at 9.732 g/cm3. Its density of states at the Fermi level is 0.504 states/eV/atom.

Cell lengths 5.0900, 5.0900, 5.0900 Å; angles 60.00, 60.00, 60.00 degrees
With the nearest neighbours (Å) after each atom.
Sites, in units of the cell vectors:
1 La 0.0000 0.0000 0.0000  4 Zn 3.12, 4 Os 3.12
2 Eu 0.5000 0.5000 0.5000  4 Zn 3.12, 4 Os 3.12
3 Zn 0.7500 0.7500 0.7500  4 Eu 3.12, 4 La 3.12
4 Os 0.2500 0.2500 0.2500  4 La 3.12, 4 Eu 3.12